Arrangement i

Computed, not measured: a geometry-optimized Sc2In2Pd structure at the PBE level of DFT.

Cell: 7.1313 7.1313 4.2978 Å, 90.00 90.00 90.00°
Positions (direct):
Sc  0.1640  0.3360  0.0000
Sc  0.3360  0.8360  0.0000
Sc  0.6640  0.1640  0.0000
Sc  0.8360  0.6640  0.0000
In  0.1423  0.6423  0.5000
In  0.3577  0.1423  0.5000
In  0.6423  0.8577  0.5000
In  0.8577  0.3577  0.5000
Pd  0.0000  0.0000  0.5000
Pd  0.5000  0.5000  0.5000

***

Arrangement ii

Computed, not measured: a geometry-optimized Sc2In2Pd structure at the PBE level of DFT.

Cell: 6.9741 6.9741 4.7667 Å, 90.00 90.00 90.00°
Positions (direct):
Sc  0.1557  0.3443  0.0000
Sc  0.3443  0.8443  0.0000
Sc  0.6557  0.1557  0.0000
Sc  0.8443  0.6557  0.0000
In  0.1567  0.6567  0.5000
In  0.3433  0.1567  0.5000
In  0.6567  0.8433  0.5000
In  0.8433  0.3433  0.5000
Pd  0.0000  0.0000  0.0000
Pd  0.5000  0.5000  0.0000

***

arrangement i is preferred energetically. Next in line: 186 meV/atom higher.

***

Arrangement i

Computed, not measured: a geometry-optimized ScIn2Pd3 structure at the PBE level of DFT.

Cell: 4.6652 4.6652 11.3822 Å, 90.00 90.00 120.00°
Positions (direct):
Sc  0.3333  0.6667  0.1663
Sc  0.6667  0.3333  0.8337
In  0.0000  0.0000  0.0000
In  0.0000  0.0000  0.5000
In  0.3333  0.6667  0.6707
In  0.6667  0.3333  0.3293
Pd  0.0000  0.0000  0.2511
Pd  0.0000  0.0000  0.7489
Pd  0.3333  0.6667  0.4175
Pd  0.3333  0.6667  0.9159
Pd  0.6667  0.3333  0.0841
Pd  0.6667  0.3333  0.5825

***

Arrangement ii

Computed, not measured: a geometry-optimized ScIn2Pd3 structure at the PBE level of DFT.

Cell: 3.3556 3.3556 9.6095 Å, 90.00 90.00 90.00°
Positions (direct):
Sc  0.0000  0.0000  0.0000
In  0.0000  0.0000  0.3321
In  0.0000  0.0000  0.6679
Pd  0.5000  0.5000  0.1614
Pd  0.5000  0.5000  0.5000
Pd  0.5000  0.5000  0.8386

***

arrangement i is preferred energetically. Next in line: 50 meV/atom higher.

***

Arrangement i

Computed, not measured: a geometry-optimized TmScInPd structure at the PBE level of DFT.

Cell: 3.3971 3.3971 7.5508 Å, 90.00 90.00 90.00°
Positions (direct):
Tm  0.0000  0.0000  0.0000
Sc  0.0000  0.0000  0.5557
In  0.5000  0.5000  0.2919
Pd  0.5000  0.5000  0.7594

***

Arrangement ii

Computed, not measured: a geometry-optimized TmScInPd structure at the PBE level of DFT.

Cell: 4.9853 4.9853 4.9853 Å, 60.00 60.00 60.00°
Positions (direct):
Tm  0.0000  0.0000  0.0000
Sc  0.5000  0.5000  0.5000
In  0.7500  0.7500  0.7500
Pd  0.2500  0.2500  0.2500

***

arrangement i is preferred energetically. Next in line: 78 meV/atom higher.